VASP calculation (GGA+U) on a relaxed VFe2O crystal.

Values from the calculation:
Calculated total energy   -5.603 eV/atom
Magnetic moment   6.9 μB per cell

Cell lengths 5.7374, 5.7374, 5.7374 Å; angles 117.05, 117.05, 95.18 degrees
Last column: nearest neighbours and their distance in Å.
Atoms (fractional coordinates):
V1 0.0000 0.0000 0.0000  4 Fe 2.80
V2 0.7500 0.2500 0.5000  4 Fe 2.80
Fe1 0.2355 0.6250 0.1105  2 O 1.97
Fe2 0.3750 0.4855 0.6105  2 O 1.97
Fe3 0.5145 0.1250 0.8895  2 O 1.97
Fe4 0.8750 0.7645 0.3895  2 O 1.97
O1 0.2500 0.7500 0.5000  4 Fe 1.97
O2 0.5000 0.5000 0.0000  4 Fe 1.97